4
Lattice="-1.297 -2.618 -4.263 -0.072 -5.168 0.063 -4.505 -2.525 -0.212" Properties=species:S:1:pos:R:3 comment="PBE PmAgBiAu, optimized geometry" space_group=F-43m dos_at_fermi_per_ev_atom=0.4014 ef_ev_per_fu=-1.78 pbc="T T T"
Ag 0.000 0.000 0.000
Bi -4.406 -7.733 -3.309
Au -2.937 -5.155 -2.206
Pm -1.469 -2.578 -1.103